1.
The following is a PBE calculation of a relaxed GdYNiAg crystal, from Alexandria via LeMat-Bulk.

Final energy = -7.582 eV per atom
Calculated volume = 355.74 Å³/cell
Formation energy from the elements = -111 kJ/mol of formula units

```
data_GdYNiAg
_chemical_formula_sum 'Gd4 Y4 Ni4 Ag4'
_cell_length_a 7.086
_cell_length_b 7.086
_cell_length_c 7.086
_cell_angle_alpha 90.00
_cell_angle_beta 90.00
_cell_angle_gamma 90.00
_space_group_name_H-M_alt 'F -4 3 m'
_space_group_IT_number 216
_space_group_name_Hall 'F -4 2 3'
loop_
_atom_site_label
_atom_site_fract_x
_atom_site_fract_y
_atom_site_fract_z
Gd1 0.000 0.000 0.000
Y1 0.000 0.000 0.500
Ni1 0.250 0.250 0.250
Ag1 0.250 0.250 0.750
```

2.
The following is a PBE calculation of a relaxed RbSrTa2 crystal, from Alexandria via LeMat-Bulk.

Final energy = -4.315 eV per atom
Calculated volume = 467.67 Å³/cell
Relative energy among the computed polymorphs = 47.4 kJ/mol of atoms
Formation energy from the elements = 878 kJ/mol of formula units

```
data_RbSrTa2
_chemical_formula_sum 'Rb4 Sr4 Ta8'
_cell_length_a 7.762
_cell_length_b 7.762
_cell_length_c 7.762
_cell_angle_alpha 90.00
_cell_angle_beta 90.00
_cell_angle_gamma 90.00
_space_group_name_H-M_alt 'F m -3 m'
_space_group_IT_number 225
_space_group_name_Hall '-F 4 2 3'
loop_
_atom_site_label
_atom_site_fract_x
_atom_site_fract_y
_atom_site_fract_z
Rb1 0.000 0.000 0.000
Sr1 0.000 0.000 0.500
Ta1 0.250 0.250 0.250
```

3.
The following is a PBE calculation of a relaxed YOs2Br crystal, from Alexandria via LeMat-Bulk.

Final energy = -6.637 eV per atom
Calculated volume = 148.81 Å³/cell
Relative energy among the computed polymorphs = 103.8 kJ/mol of atoms

```
data_YOs2Br
_chemical_formula_sum 'Y2 Os4 Br2'
_cell_length_a 3.177
_cell_length_b 5.079
_cell_length_c 9.222
_cell_angle_alpha 90.00
_cell_angle_beta 90.00
_cell_angle_gamma 90.00
_space_group_name_H-M_alt 'C m m m'
_space_group_IT_number 65
_space_group_name_Hall '-C 2 2'
loop_
_atom_site_label
_atom_site_fract_x
_atom_site_fract_y
_atom_site_fract_z
Y1 0.000 0.000 0.000
Os1 0.000 0.500 0.250
Br1 0.000 0.000 0.500
```

4.
The following is a PBE calculation of a relaxed Sm4US5 crystal, from Alexandria via LeMat-Bulk.

Final energy = -6.960 eV per atom
Calculated volume = 446.43 Å³/cell

```
data_Sm4US5
_chemical_formula_sum 'Sm8 U2 S10'
_cell_length_a 3.981
_cell_length_b 3.981
_cell_length_c 28.175
_cell_angle_alpha 90.00
_cell_angle_beta 90.00
_cell_angle_gamma 90.00
_space_group_name_H-M_alt 'I 4/m m m'
_space_group_IT_number 139
_space_group_name_Hall '-I 4 2'
loop_
_atom_site_label
_atom_site_fract_x
_atom_site_fract_y
_atom_site_fract_z
Sm1 0.000 0.000 0.100
Sm2 0.000 0.000 0.303
U1 0.000 0.000 0.500
S1 0.000 0.000 0.000
S2 0.000 0.000 0.201
S3 0.000 0.000 0.402
```

5.
The following is a PBE calculation of a relaxed K2Ca2Mo crystal, from Alexandria via LeMat-Bulk.

Final energy = -2.318 eV per atom
Calculated volume = 420.08 Å³/cell
Formation energy from the elements = 525 kJ/mol of formula units

```
data_K2Ca2Mo
_chemical_formula_sum 'K4 Ca4 Mo2'
_cell_length_a 4.486
_cell_length_b 4.486
_cell_length_c 20.876
_cell_angle_alpha 90.00
_cell_angle_beta 90.00
_cell_angle_gamma 90.00
_space_group_name_H-M_alt 'I 4/m m m'
_space_group_IT_number 139
_space_group_name_Hall '-I 4 2'
loop_
_atom_site_label
_atom_site_fract_x
_atom_site_fract_y
_atom_site_fract_z
K1 0.000 0.500 0.250
Ca1 0.000 0.000 0.079
Mo1 0.000 0.000 0.500
```

Among the records above, which one has the lowest final energy?
GdYNiAg